Density functional theory data (PBE-GGA) for an optimized crystal structure of Na3Ge5Pd6.

```
Na3Ge5Pd6
1.0
4.1854 0.0000 0.0000
0.0000 13.1637 0.0000
0.0000 0.0000 9.1382
Na Ge Pd
6 10 12
Direct
0.2500 0.0716 0.2472
0.2500 0.4284 0.2472
0.2500 0.7500 0.2441
0.7500 0.2500 0.7559
0.7500 0.5716 0.7528
0.7500 0.9284 0.7528
0.2500 0.0882 0.8605
0.2500 0.4118 0.8605
0.2500 0.6340 0.5273
0.2500 0.7500 0.8242
0.2500 0.8660 0.5273
0.7500 0.1340 0.4727
0.7500 0.2500 0.1758
0.7500 0.3660 0.4727
0.7500 0.5882 0.1395
0.7500 0.9118 0.1395
0.2500 0.0524 0.5910
0.2500 0.2500 0.0142
0.2500 0.2500 0.4712
0.2500 0.4476 0.5910
0.2500 0.5860 0.9873
0.2500 0.9140 0.9873
0.7500 0.0860 0.0127
0.7500 0.4140 0.0127
0.7500 0.5524 0.4090
0.7500 0.7500 0.5288
0.7500 0.7500 0.9858
0.7500 0.9476 0.4090
```

Properties
M_tot	0.000	μB per cell
formation energy from the elements	-0.40	eV per atom
density of states at the Fermi level	10.67	states/eV per cell
calculated volume	17.98	A^3/atom
DFT total energy	-4.554	eV per atom

=====

Density functional theory data (PBE-GGA) for an optimized crystal structure of Na2Ge3Pd.

```
Na2Ge3Pd
1.0
6.0210 -4.0847 0.0000
6.0210 4.0847 0.0000
0.0000 0.0000 5.3378
Na Ge Pd
4 6 2
Direct
0.0089 0.3667 0.2500
0.3667 0.0089 0.7500
0.6333 0.9911 0.2500
0.9911 0.6333 0.7500
0.0000 0.0000 0.0000
0.0000 0.0000 0.5000
0.3895 0.3895 0.0000
0.3895 0.3895 0.5000
0.6105 0.6105 0.0000
0.6105 0.6105 0.5000
0.2685 0.7315 0.2500
0.7315 0.2685 0.7500
```

Properties
M_tot	0.000	μB per cell
formation energy from the elements	-0.10	eV per atom
density of states at the Fermi level	4.04	states/eV per cell
calculated volume	21.88	A^3/atom
DFT total energy	-3.714	eV per atom

=====

Density functional theory data (PBE-GGA) for an optimized crystal structure of NaGe2Pd3.

```
NaGe2Pd3
1.0
8.3291 -2.0141 0.0000
8.3291 2.0141 0.0000
-3.0590 0.0000 9.5995
Na Ge Pd
3 6 9
Direct
0.0000 0.0000 0.0000
0.1616 0.1616 0.7034
0.8384 0.8384 0.2966
0.1907 0.1907 0.1246
0.3620 0.3620 0.5471
0.4585 0.4585 0.2125
0.5415 0.5415 0.7875
0.6380 0.6380 0.4529
0.8093 0.8093 0.8754
0.0357 0.0357 0.3277
0.2158 0.2158 0.3925
0.3182 0.3182 0.0352
0.3818 0.3818 0.8026
0.5000 0.5000 0.5000
0.6182 0.6182 0.1974
0.6818 0.6818 0.9648
0.7842 0.7842 0.6075
0.9643 0.9643 0.6723
```

Properties
M_tot	0.000	μB per cell
formation energy from the elements	-0.44	eV per atom
density of states at the Fermi level	6.29	states/eV per cell
calculated volume	17.89	A^3/atom
DFT total energy	-4.795	eV per atom

=====

Density functional theory data (PBE-GGA) for an optimized crystal structure of NaGePd6.

```
NaGePd6
1.0
4.5046 2.6007 1.9063
-4.5046 2.6007 1.9063
0.0000 -5.2014 1.9063
Na Ge Pd
1 1 6
Direct
0.0000 0.0000 0.0000
0.5000 0.5000 0.5000
0.2420 0.2420 0.7057
0.2420 0.7057 0.2420
0.2943 0.7580 0.7580
0.7057 0.2420 0.2420
0.7580 0.2943 0.7580
0.7580 0.7580 0.2943
```

Properties
M_tot	0.000	μB per cell
formation energy from the elements	-0.08	eV per atom
density of states at the Fermi level	4.87	states/eV per cell
calculated volume	16.75	A^3/atom
DFT total energy	-4.719	eV per atom

=====

Density functional theory data (PBE-GGA) for an optimized crystal structure of NaGePd3.

```
NaGePd3
1.0
-2.7430 3.7875 4.3114
2.7430 -3.7875 4.3114
2.7430 3.7875 -4.3114
Na Ge Pd
2 2 6
Direct
0.2561 0.0061 0.2500
0.7439 0.9939 0.7500
0.0000 0.5000 0.5000
0.5000 0.5000 0.0000
0.1864 0.0000 0.6864
0.1864 0.5000 0.1864
0.4255 0.6755 0.7500
0.5745 0.3245 0.2500
0.8136 0.0000 0.3136
0.8136 0.5000 0.8136
```

Properties
M_tot	0.000	μB per cell
formation energy from the elements	-0.28	eV per atom
density of states at the Fermi level	5.34	states/eV per cell
calculated volume	17.92	A^3/atom
DFT total energy	-4.580	eV per atom

=====

Density functional theory data (PBE-GGA) for an optimized crystal structure of NaGePd3.

```
NaGePd3
1.0
4.6232 0.0000 0.0000
0.0000 4.6232 0.0000
0.0000 0.0000 4.6232
Na Ge Pd
1 1 3
Direct
0.0000 0.0000 0.0000
0.5000 0.5000 0.5000
0.0000 0.0000 0.5000
0.0000 0.5000 0.0000
0.5000 0.0000 0.0000
```

Properties
M_tot	0.000	μB per cell
formation energy from the elements	0.91	eV per atom
density of states at the Fermi level	4.58	states/eV per cell
calculated volume	19.76	A^3/atom
DFT total energy	-3.397	eV per atom

=====

Density functional theory data (PBE-GGA) for an optimized crystal structure of NaGe6Pd6.

```
NaGe6Pd6
1.0
-2.7925 4.0950 4.8271
2.7925 -4.0950 4.8271
2.7925 4.0950 -4.8271
Na Ge Pd
1 6 6
Direct
0.0000 0.0000 0.0000
0.1644 0.6644 0.5000
0.3295 0.3295 0.0000
0.3470 0.0000 0.3470
0.6530 0.0000 0.6530
0.6705 0.6705 0.0000
0.8356 0.3356 0.5000
0.0000 0.0000 0.5000
0.0000 0.5000 0.0000
0.2596 0.5000 0.7596
0.5000 0.0000 0.0000
0.5000 0.5000 0.5000
0.7404 0.5000 0.2404
```

Properties
M_tot	0.000	μB per cell
formation energy from the elements	-0.34	eV per atom
density of states at the Fermi level	6.05	states/eV per cell
calculated volume	16.98	A^3/atom
DFT total energy	-4.967	eV per atom

=====

Density functional theory data (PBE-GGA) for an optimized crystal structure of NaGePd.

```
NaGePd
1.0
0.0000 4.1602 5.2678
2.6803 0.0000 5.2678
2.6803 4.1602 0.0000
Na Ge Pd
2 2 2
Direct
0.1691 0.8309 0.1691
0.8309 0.1691 0.8309
0.2500 0.2500 0.2500
0.7500 0.7500 0.7500
0.3148 0.3148 0.6852
0.6852 0.6852 0.3148
```

Properties
M_tot	0.000	μB per cell
formation energy from the elements	-0.27	eV per atom
density of states at the Fermi level	0.73	states/eV per cell
calculated volume	19.58	A^3/atom
DFT total energy	-3.976	eV per atom